Model P:
Entry from Alexandria via LeMat-Bulk: a crystal of Mn2AlAs relaxed with PBEsol (meta-GGA SCAN).

Output
- calculated volume (Å³ per cell) = 54

a b c (Å): 2.7434 2.7434 7.1668
angles (deg): 90.00 90.00 90.00
Sites, in units of the cell vectors:
Mn  0.0000  0.0000  0.0000
Mn  0.5000  0.5000  0.1922
Al  0.0000  0.0000  0.4081
As  0.5000  0.5000  0.7819



Model Q:
Entry from Alexandria via LeMat-Bulk: a crystal of Mn2AlAs relaxed with PBEsol (meta-GGA SCAN).

Output
- calculated volume (Å³ per cell) = 104

a b c (Å): 3.5932 3.5932 8.0515
angles (deg): 90.00 90.00 90.00
Sites, in units of the cell vectors:
Mn  0.0000  0.0000  0.0000
Mn  0.0000  0.5000  0.2500
Mn  0.5000  0.0000  0.7500
Mn  0.5000  0.5000  0.5000
Al  0.0000  0.5000  0.7500
Al  0.5000  0.0000  0.2500
As  0.0000  0.0000  0.5000
As  0.5000  0.5000  0.0000



Model R:
Entry from Alexandria via LeMat-Bulk: a crystal of Mn2AlAs relaxed with PBEsol (meta-GGA SCAN).

Output
- calculated volume (Å³ per cell) = 205

a b c (Å): 5.8999 5.8999 5.8999
angles (deg): 90.00 90.00 90.00
Sites, in units of the cell vectors:
Mn  0.0000  0.0000  0.0000
Mn  0.0000  0.5000  0.5000
Mn  0.2500  0.2500  0.2500
Mn  0.2500  0.7500  0.7500
Mn  0.5000  0.0000  0.5000
Mn  0.5000  0.5000  0.0000
Mn  0.7500  0.2500  0.7500
Mn  0.7500  0.7500  0.2500
Al  0.0000  0.0000  0.5000
Al  0.0000  0.5000  0.0000
Al  0.5000  0.0000  0.0000
Al  0.5000  0.5000  0.5000
As  0.2500  0.2500  0.7500
As  0.2500  0.7500  0.2500
As  0.7500  0.2500  0.2500
As  0.7500  0.7500  0.7500



model Q ends up most stable, edging out the next structure by 0.316 eV/atom.



Model P:
Entry from Alexandria via LeMat-Bulk: a crystal of AlAsPSe2 relaxed with PBEsol (meta-GGA SCAN).

Output
- calculated volume (Å³ per cell) = 107

a b c (Å): 4.7227 4.7227 4.7943
angles (deg): 90.00 90.00 90.00
Sites, in units of the cell vectors:
Al  0.0000  0.0000  0.0000
As  0.0000  0.0000  0.5000
P  0.5000  0.5000  0.5000
Se  0.0000  0.5000  0.0000
Se  0.5000  0.0000  0.0000



Model Q:
Entry from Alexandria via LeMat-Bulk: a crystal of AlAsPSe2 relaxed with PBEsol (meta-GGA SCAN).

Output
- calculated volume (Å³ per cell) = 107

a b c (Å): 4.7338 4.7338 4.7822
angles (deg): 90.00 90.00 90.00
Sites, in units of the cell vectors:
Al  0.0000  0.0000  0.0000
As  0.5000  0.5000  0.0000
P  0.5000  0.5000  0.5000
Se  0.0000  0.5000  0.5000
Se  0.5000  0.0000  0.5000



model Q ends up most stable, edging out the next structure by 0.087 eV/atom.



Model P:
Entry from Alexandria via LeMat-Bulk: a crystal of Al2AsPb relaxed with PBEsol (meta-GGA SCAN).

Output
- calculated volume (Å³ per cell) = 166

a b c (Å): 4.3555 4.3771 8.6939
angles (deg): 90.00 90.00 90.00
Sites, in units of the cell vectors:
Al  0.0000  0.0000  0.0000
Al  0.0000  0.5000  0.2081
Al  0.5000  0.0000  0.2081
Al  0.5000  0.5000  0.0000
As  0.0000  0.5000  0.8092
As  0.5000  0.0000  0.8092
Pb  0.0000  0.0000  0.4986
Pb  0.5000  0.5000  0.4986



Model Q:
Entry from Alexandria via LeMat-Bulk: a crystal of Al2AsPb relaxed with PBEsol (meta-GGA SCAN).

Output
- calculated volume (Å³ per cell) = 87

a b c (Å): 3.5875 3.5875 6.7491
angles (deg): 90.00 90.00 90.00
Sites, in units of the cell vectors:
Al  0.0000  0.0000  0.0000
Al  0.5000  0.5000  0.2492
As  0.0000  0.0000  0.3657
Pb  0.5000  0.5000  0.7614



Model R:
Entry from Alexandria via LeMat-Bulk: a crystal of Al2AsPb relaxed with PBEsol (meta-GGA SCAN).

Output
- calculated volume (Å³ per cell) = 95

a b c (Å): 3.8286 4.0397 6.1378
angles (deg): 90.00 90.00 90.00
Sites, in units of the cell vectors:
Al  0.0000  0.0000  0.0000
Al  0.5000  0.5000  0.0212
As  0.5000  0.0000  0.2809
Pb  0.0000  0.5000  0.6468



Model S:
Entry from Alexandria via LeMat-Bulk: a crystal of Al2AsPb relaxed with PBEsol (meta-GGA SCAN).

Output
- calculated volume (Å³ per cell) = 175

a b c (Å): 8.7552 3.6156 5.7269
angles (deg): 90.00 104.67 90.00
Sites, in units of the cell vectors:
Al  0.0000  0.0000  0.0000
Al  0.2465  0.5000  0.2035
Al  0.5000  0.5000  0.0000
Al  0.7465  0.0000  0.2035
As  0.4727  0.0000  0.3332
As  0.9727  0.5000  0.3332
Pb  0.2334  0.0000  0.7019
Pb  0.7334  0.5000  0.7019



model R ends up most stable, edging out the next structure by 0.020 eV/atom.



Model P:
Entry from Alexandria via LeMat-Bulk: a crystal of Al2AsPb relaxed with PBEsol (meta-GGA SCAN).

Output
- calculated volume (Å³ per cell) = 168

a b c (Å): 3.5848 4.8469 9.6679
angles (deg): 90.00 90.00 90.00
Sites, in units of the cell vectors:
Al  0.0000  0.0000  0.0000
Al  0.0000  0.5000  0.2488
Al  0.5000  0.0000  0.7488
Al  0.5000  0.5000  0.5000
As  0.0000  0.0000  0.5579
As  0.5000  0.5000  0.0579
Pb  0.0000  0.5000  0.7841
Pb  0.5000  0.0000  0.2841



Model Q:
Entry from Alexandria via LeMat-Bulk: a crystal of Al2AsPb relaxed with PBEsol (meta-GGA SCAN).

Output
- calculated volume (Å³ per cell) = 259

a b c (Å): 3.7169 3.7169 21.6199
angles (deg): 90.00 90.00 120.00
Sites, in units of the cell vectors:
Al  0.0000  0.0000  0.2340
Al  0.0000  0.0000  0.7660
Al  0.3333  0.6667  0.4326
Al  0.3333  0.6667  0.9007
Al  0.6667  0.3333  0.0993
Al  0.6667  0.3333  0.5674
As  0.0000  0.0000  0.5000
As  0.3333  0.6667  0.1667
As  0.6667  0.3333  0.8333
Pb  0.0000  0.0000  0.0000
Pb  0.3333  0.6667  0.6667
Pb  0.6667  0.3333  0.3333



model Q ends up most stable, edging out the next structure by 0.261 eV/atom.



Model P:
Entry from Alexandria via LeMat-Bulk: a crystal of AlRe2As relaxed with PBEsol (meta-GGA SCAN).

Output
- calculated volume (Å³ per cell) = 119

a b c (Å): 2.9777 4.7885 8.3391
angles (deg): 90.00 90.00 90.00
Sites, in units of the cell vectors:
Al  0.0000  0.0000  0.0000
Al  0.5000  0.5000  0.5000
Re  0.0000  0.5000  0.2299
Re  0.0000  0.5000  0.7701
Re  0.5000  0.0000  0.2701
Re  0.5000  0.0000  0.7299
As  0.0000  0.0000  0.5000
As  0.5000  0.5000  0.0000



Model Q:
Entry from Alexandria via LeMat-Bulk: a crystal of AlRe2As relaxed with PBEsol (meta-GGA SCAN).

Output
- calculated volume (Å³ per cell) = 225

a b c (Å): 6.0814 6.0814 6.0814
angles (deg): 90.00 90.00 90.00
Sites, in units of the cell vectors:
Al  0.0000  0.0000  0.0000
Al  0.0000  0.5000  0.5000
Al  0.5000  0.0000  0.5000
Al  0.5000  0.5000  0.0000
Re  0.2500  0.2500  0.2500
Re  0.2500  0.2500  0.7500
Re  0.2500  0.7500  0.2500
Re  0.2500  0.7500  0.7500
Re  0.7500  0.2500  0.2500
Re  0.7500  0.2500  0.7500
Re  0.7500  0.7500  0.2500
Re  0.7500  0.7500  0.7500
As  0.0000  0.0000  0.5000
As  0.0000  0.5000  0.0000
As  0.5000  0.0000  0.0000
As  0.5000  0.5000  0.5000



model Q ends up most stable, edging out the next structure by 0.139 eV/atom.



Model P:
Entry from Alexandria via LeMat-Bulk: a crystal of AlAsRu2 relaxed with PBEsol (meta-GGA SCAN).

Output
- calculated volume (Å³ per cell) = 115

a b c (Å): 2.9889 4.8706 7.9101
angles (deg): 90.00 90.00 90.00
Sites, in units of the cell vectors:
Al  0.0000  0.0000  0.0000
Al  0.5000  0.5000  0.0000
As  0.0000  0.0000  0.5000
As  0.5000  0.5000  0.5000
Ru  0.0000  0.5000  0.2557
Ru  0.0000  0.5000  0.7443
Ru  0.5000  0.0000  0.2557
Ru  0.5000  0.0000  0.7443



Model Q:
Entry from Alexandria via LeMat-Bulk: a crystal of AlAsRu2 relaxed with PBEsol (meta-GGA SCAN).

Output
- calculated volume (Å³ per cell) = 53

a b c (Å): 4.2071 4.2071 3.0185
angles (deg): 90.00 90.00 90.00
Sites, in units of the cell vectors:
Al  0.0000  0.0000  0.0000
As  0.5000  0.5000  0.0000
Ru  0.0000  0.5000  0.5000
Ru  0.5000  0.0000  0.5000



model Q ends up most stable, edging out the next structure by 0.458 eV/atom.



Model P:
Entry from Alexandria via LeMat-Bulk: a crystal of Al2SbAs relaxed with PBEsol (meta-GGA SCAN).

Output
- calculated volume (Å³ per cell) = 78

a b c (Å): 4.7229 4.7229 3.5073
angles (deg): 90.00 90.00 90.00
Sites, in units of the cell vectors:
Al  0.0000  0.5000  0.0000
Al  0.5000  0.0000  0.0000
Sb  0.0000  0.0000  0.5000
As  0.5000  0.5000  0.5000



Model Q:
Entry from Alexandria via LeMat-Bulk: a crystal of Al2SbAs relaxed with PBEsol (meta-GGA SCAN).

Output
- calculated volume (Å³ per cell) = 179

a b c (Å): 7.4359 3.5963 6.6907
angles (deg): 90.00 90.09 90.00
Sites, in units of the cell vectors:
Al  0.0000  0.0000  0.0000
Al  0.1660  0.0000  0.4452
Al  0.5000  0.5000  0.0000
Al  0.6660  0.5000  0.4452
Sb  0.2052  0.5000  0.7740
Sb  0.7052  0.0000  0.7740
As  0.4685  0.0000  0.2757
As  0.9685  0.5000  0.2757



model Q ends up most stable, edging out the next structure by 0.339 eV/atom.



Model P:
Entry from Alexandria via LeMat-Bulk: a crystal of Al2SbAs relaxed with PBEsol (meta-GGA SCAN).

Output
- calculated volume (Å³ per cell) = 161

a b c (Å): 3.8854 4.5712 9.0796
angles (deg): 90.00 90.00 90.00
Sites, in units of the cell vectors:
Al  0.0000  0.0000  0.0000
Al  0.0000  0.5000  0.2142
Al  0.5000  0.0000  0.2142
Al  0.5000  0.5000  0.0000
Sb  0.0000  0.5000  0.7457
Sb  0.5000  0.0000  0.7457
As  0.0000  0.0000  0.4122
As  0.5000  0.5000  0.4122



Model Q:
Entry from Alexandria via LeMat-Bulk: a crystal of Al2SbAs relaxed with PBEsol (meta-GGA SCAN).

Output
- calculated volume (Å³ per cell) = 415

a b c (Å): 5.9282 5.9282 11.8044
angles (deg): 90.00 90.00 90.00
Sites, in units of the cell vectors:
Al  0.2236  0.2500  0.1250
Al  0.2500  0.7236  0.3750
Al  0.2500  0.7764  0.8750
Al  0.2764  0.2500  0.6250
Al  0.7236  0.7500  0.6250
Al  0.7500  0.2236  0.8750
Al  0.7500  0.2764  0.3750
Al  0.7764  0.7500  0.1250
Sb  0.0000  0.0000  0.5000
Sb  0.0000  0.5000  0.7500
Sb  0.5000  0.0000  0.2500
Sb  0.5000  0.5000  0.0000
As  0.0000  0.0000  0.0000
As  0.0000  0.5000  0.2500
As  0.5000  0.0000  0.7500
As  0.5000  0.5000  0.5000



model Q ends up most stable, edging out the next structure by 0.535 eV/atom.



Model P:
Entry from Alexandria via LeMat-Bulk: a crystal of AlAs2Se relaxed with PBEsol (meta-GGA SCAN).

Output
- calculated volume (Å³ per cell) = 83

a b c (Å): 3.6401 3.6401 6.2768
angles (deg): 90.00 90.00 90.00
Sites, in units of the cell vectors:
Al  0.0000  0.0000  0.0000
As  0.0000  0.5000  0.5000
As  0.5000  0.0000  0.5000
Se  0.5000  0.5000  0.0000



Model Q:
Entry from Alexandria via LeMat-Bulk: a crystal of AlAs2Se relaxed with PBEsol (meta-GGA SCAN).

Output
- calculated volume (Å³ per cell) = 159

a b c (Å): 3.7270 5.4497 7.8202
angles (deg): 90.00 90.00 90.00
Sites, in units of the cell vectors:
Al  0.0000  0.0000  0.0000
Al  0.0000  0.5000  0.5000
As  0.0000  0.0000  0.5138
As  0.0000  0.5000  0.0138
As  0.5000  0.0000  0.7358
As  0.5000  0.5000  0.2358
Se  0.5000  0.0000  0.2206
Se  0.5000  0.5000  0.7206



model Q ends up most stable, edging out the next structure by 0.341 eV/atom.



Model P:
Entry from Alexandria via LeMat-Bulk: a crystal of AlSi2As relaxed with PBEsol (meta-GGA SCAN).

Output
- calculated volume (Å³ per cell) = 66

a b c (Å): 4.9068 5.0872 2.6572
angles (deg): 90.00 90.00 90.00
Sites, in units of the cell vectors:
Al  0.0000  0.0000  0.0000
Si  0.5000  0.0000  0.5347
Si  0.5000  0.5000  0.3856
As  0.0000  0.5000  0.1346



Model Q:
Entry from Alexandria via LeMat-Bulk: a crystal of AlSi2As relaxed with PBEsol (meta-GGA SCAN).

Output
- calculated volume (Å³ per cell) = 64

a b c (Å): 3.3990 3.3990 5.5267
angles (deg): 90.00 90.00 90.00
Sites, in units of the cell vectors:
Al  0.0000  0.0000  0.0000
Si  0.5000  0.5000  0.2414
Si  0.5000  0.5000  0.7586
As  0.0000  0.0000  0.5000



model P ends up most stable, edging out the next structure by 0.196 eV/atom.



Model P:
Entry from Alexandria via LeMat-Bulk: a crystal of AlSn2As relaxed with PBEsol (meta-GGA SCAN).

Output
- calculated volume (Å³ per cell) = 471

a b c (Å): 6.1706 6.1706 12.3594
angles (deg): 90.00 90.00 90.00
Sites, in units of the cell vectors:
Al  0.0000  0.0000  0.0000
Al  0.0000  0.5000  0.2500
Al  0.5000  0.0000  0.7500
Al  0.5000  0.5000  0.5000
Sn  0.2481  0.2500  0.1250
Sn  0.2500  0.7481  0.3750
Sn  0.2500  0.7519  0.8750
Sn  0.2519  0.2500  0.6250
Sn  0.7481  0.7500  0.6250
Sn  0.7500  0.2481  0.8750
Sn  0.7500  0.2519  0.3750
Sn  0.7519  0.7500  0.1250
As  0.0000  0.0000  0.5000
As  0.0000  0.5000  0.7500
As  0.5000  0.0000  0.2500
As  0.5000  0.5000  0.0000



Model Q:
Entry from Alexandria via LeMat-Bulk: a crystal of AlSn2As relaxed with PBEsol (meta-GGA SCAN).

Output
- calculated volume (Å³ per cell) = 355

a b c (Å): 7.0807 7.0807 7.0807
angles (deg): 90.00 90.00 90.00
Sites, in units of the cell vectors:
Al  0.0000  0.0000  0.0000
Al  0.0000  0.5000  0.5000
Al  0.5000  0.0000  0.5000
Al  0.5000  0.5000  0.0000
Sn  0.2500  0.2500  0.2500
Sn  0.2500  0.2500  0.7500
Sn  0.2500  0.7500  0.2500
Sn  0.2500  0.7500  0.7500
Sn  0.7500  0.2500  0.2500
Sn  0.7500  0.2500  0.7500
Sn  0.7500  0.7500  0.2500
Sn  0.7500  0.7500  0.7500
As  0.0000  0.0000  0.5000
As  0.0000  0.5000  0.0000
As  0.5000  0.0000  0.0000
As  0.5000  0.5000  0.5000



model P ends up most stable, edging out the next structure by 0.301 eV/atom.



Model P:
Entry from Alexandria via LeMat-Bulk: a crystal of AlTc2As relaxed with PBEsol (meta-GGA SCAN).

Output
- calculated volume (Å³ per cell) = 57

a b c (Å): 2.9553 4.3893 4.3763
angles (deg): 90.00 90.00 90.00
Sites, in units of the cell vectors:
Al  0.0000  0.0000  0.0000
Tc  0.0000  0.5000  0.3133
Tc  0.5000  0.0000  0.5106
As  0.5000  0.5000  0.8353



Model Q:
Entry from Alexandria via LeMat-Bulk: a crystal of AlTc2As relaxed with PBEsol (meta-GGA SCAN).

Output
- calculated volume (Å³ per cell) = 262

a b c (Å): 7.1945 7.1945 5.0562
angles (deg): 90.00 90.00 90.00
Sites, in units of the cell vectors:
Al  0.0000  0.0000  0.0000
Al  0.0000  0.5000  0.2500
Al  0.5000  0.0000  0.7500
Al  0.5000  0.5000  0.5000
Tc  0.1866  0.2500  0.6250
Tc  0.2500  0.6866  0.8750
Tc  0.2500  0.8134  0.3750
Tc  0.3134  0.2500  0.1250
Tc  0.6866  0.7500  0.1250
Tc  0.7500  0.1866  0.3750
Tc  0.7500  0.3134  0.8750
Tc  0.8134  0.7500  0.6250
As  0.0000  0.0000  0.5000
As  0.0000  0.5000  0.7500
As  0.5000  0.0000  0.2500
As  0.5000  0.5000  0.0000



model P ends up most stable, edging out the next structure by 0.583 eV/atom.